# 1
DFT (PBE-GGA) results for an optimized crystal structure of TbDy3Tc.

Structure (POSCAR):
```
TbDy3Tc
1.0
-3.5788 -5.9128 2.2583
5.8942 -2.2651 -3.6051
2.2850 4.2854 5.3992
Dy Tc Tb
6 2 2
direct
0.2948 0.5531 0.8479
0.1526 0.9467 0.7048
0.7052 0.4469 0.1521
0.2419 0.4478 0.2952
0.7581 0.5522 0.7048
0.8474 0.0533 0.2952
0.3743 0.2500 0.6243
0.6257 0.7500 0.3757
0.7069 0.0527 0.7596
0.2931 0.9473 0.2404
```

Results
ΔH_f (0 K)   -0.03 eV per atom
SG   No. 12
ΔE to the lowest computed polymorph   33 meV per atom
Theoretical density   8.41 g cm⁻³
Density of states at the Fermi level   0.94 states/eV per atom

# 2
DFT (PBE-GGA) results for an optimized crystal structure of Rb3In2H8.

Structure (POSCAR):
```
Rb3In2H8
1.0
6.2936 0.0000 0.0000
3.1468 5.4505 0.0000
3.1468 1.8168 7.3225
H Rb In
8 3 2
direct
0.7313 0.7313 0.3089
0.6609 0.6609 0.0173
0.3391 0.3391 0.9827
0.2687 0.7714 0.6911
0.2286 0.7313 0.3089
0.7714 0.2687 0.6911
0.2687 0.2687 0.6911
0.7313 0.2286 0.3089
0.2083 0.2083 0.3750
0.0000 0.0000 0.0000
0.7917 0.7917 0.6250
0.5773 0.5773 0.2680
0.4227 0.4227 0.7320
```

Results
SG   No. 166
Theoretical density   3.27 g cm⁻³
Raw total energy   -2.722 eV/atom
Density of states at the Fermi level   0.21 states/eV per atom

Repeat the first record exactly.
DFT (PBE-GGA) results for an optimized crystal structure of TbDy3Tc.

Structure (POSCAR):
```
TbDy3Tc
1.0
-3.5788 -5.9128 2.2583
5.8942 -2.2651 -3.6051
2.2850 4.2854 5.3992
Dy Tc Tb
6 2 2
direct
0.2948 0.5531 0.8479
0.1526 0.9467 0.7048
0.7052 0.4469 0.1521
0.2419 0.4478 0.2952
0.7581 0.5522 0.7048
0.8474 0.0533 0.2952
0.3743 0.2500 0.6243
0.6257 0.7500 0.3757
0.7069 0.0527 0.7596
0.2931 0.9473 0.2404
```

Results
ΔH_f (0 K)   -0.03 eV per atom
SG   No. 12
ΔE to the lowest computed polymorph   33 meV per atom
Theoretical density   8.41 g cm⁻³
Density of states at the Fermi level   0.94 states/eV per atom

- The lowest density of states at the Fermi level belongs to which entry?
  Rb3In2H8